[1]
Computed, not measured: an optimized crystal structure of NaSc2UO6 at the PBE level of DFT.

Cell: 5.870 5.870 5.870 Å, 57.12 57.12 57.12°
Fractional positions:
Na: 0.000 0.000 0.000
Sc: 0.220 0.220 0.220
Sc: 0.729 0.729 0.729
U: 0.519 0.519 0.519
O: 0.106 0.453 0.824
O: 0.370 0.922 0.563
O: 0.453 0.824 0.106
O: 0.563 0.370 0.922
O: 0.824 0.106 0.453
O: 0.922 0.563 0.370

- formation energy without anion corrections (eV per atom) = -3.14

---

[2]
Computed, not measured: an optimized crystal structure of DyEr at the PBE level of DFT.

Cell: 3.507 4.978 7.032 Å, 90.00 90.00 90.00°
Fractional positions:
Dy: 0.250 0.250 0.126
Dy: 0.750 0.750 0.874
Er: 0.250 0.250 0.624
Er: 0.750 0.750 0.376

- energy relative to the elements (meV/atom) = 18
- offset from the most stable computed form (meV/atom) = 16

---

[3]
Computed, not measured: an optimized crystal structure of NaTl2Bi2 at the PBE level of DFT.

Cell: 8.593 8.593 4.642 Å, 90.00 90.00 90.00°
Fractional positions:
Na: 0.000 0.000 0.000
Na: 0.500 0.500 0.000
Tl: 0.162 0.338 0.500
Tl: 0.338 0.838 0.500
Tl: 0.662 0.162 0.500
Tl: 0.838 0.662 0.500
Bi: 0.128 0.628 0.000
Bi: 0.372 0.128 0.000
Bi: 0.628 0.872 0.000
Bi: 0.872 0.372 0.000

- energy relative to the elements (meV/atom) = -58
- offset from the most stable computed form (meV/atom) = 77

---

[4]
Computed, not measured: an optimized crystal structure of Ho6Er8In at the PBE level of DFT.

Cell: 8.410 8.410 8.410 Å, 63.94 63.94 63.94°
Fractional positions:
Ho: 0.049 0.607 0.729
Ho: 0.271 0.951 0.393
Ho: 0.393 0.271 0.951
Ho: 0.607 0.729 0.049
Ho: 0.729 0.049 0.607
Ho: 0.951 0.393 0.271
Er: 0.076 0.076 0.076
Er: 0.216 0.609 0.247
Er: 0.247 0.216 0.609
Er: 0.391 0.753 0.784
Er: 0.609 0.247 0.216
Er: 0.753 0.784 0.391
Er: 0.784 0.391 0.753
Er: 0.924 0.924 0.924
In: 0.500 0.500 0.500

- energy relative to the elements (meV/atom) = 24
- offset from the most stable computed form (meV/atom) = 0

---

[5]
Computed, not measured: an optimized crystal structure of Tl2TcGe at the PBE level of DFT.

Cell: 7.827 7.827 7.827 Å, 95.36 95.36 144.42°
Fractional positions:
Tl: 0.000 0.000 0.000
Tl: 0.000 0.000 0.500
Tl: 0.000 0.500 0.000
Tl: 0.500 0.000 0.500
Tc: 0.125 0.875 0.250
Tc: 0.875 0.125 0.750
Ge: 0.375 0.625 0.750
Ge: 0.625 0.375 0.250

- energy relative to the elements (meV/atom) = 352
- offset from the most stable computed form (meV/atom) = 0

---

[6]
Computed, not measured: an optimized crystal structure of Dy2PSe at the PBE level of DFT.

Cell: 7.088 7.088 7.088 Å, 32.94 32.94 32.94°
Fractional positions:
Dy: 0.243 0.243 0.243
Dy: 0.757 0.757 0.757
P: 0.500 0.500 0.500
Se: 0.000 0.000 0.000

- offset from the most stable computed form (meV/atom) = 0
- formation energy without anion corrections (eV per atom) = -1.78

---

[7]
Computed, not measured: an optimized crystal structure of TaAl3Zn at the PBE level of DFT.

Cell: 5.070 5.070 5.070 Å, 90.00 90.00 90.00°
Fractional positions:
Ta: 0.000 0.000 0.000
Al: 0.000 0.000 0.500
Al: 0.000 0.500 0.000
Al: 0.500 0.000 0.000
Zn: 0.500 0.500 0.500

- energy relative to the elements (meV/atom) = 1004
- offset from the most stable computed form (meV/atom) = 81

---

[8]
Computed, not measured: an optimized crystal structure of Ti2Al3Fe4 at the PBE level of DFT.

Cell: 4.133 4.133 7.660 Å, 90.00 90.00 120.00°
Fractional positions:
Ti: 0.333 0.667 0.289
Ti: 0.667 0.333 0.711
Al: 0.000 0.000 0.500
Al: 0.333 0.667 0.926
Al: 0.667 0.333 0.074
Fe: 0.000 0.000 0.156
Fe: 0.000 0.000 0.844
Fe: 0.333 0.667 0.607
Fe: 0.667 0.333 0.393

- energy relative to the elements (meV/atom) = -436

---

For each record above, in turn, the calculated VASP energy values are -8.6378; -4.5643; -2.8206; -4.4227; -4.5773; -6.3083; -3.8667; -7.1992 eV/atom.